DFT (PBE) results for a geometry-optimized Tm6Ag5 structure.

Calculated values
- total magnetic moment (μB/f.u.) = 0.00
- energy relative to the elements (eV per atom) = -0.24
- electronic total energy (eV per atom) = -3.972

a b c (Å): 8.718 8.718 8.718
angles (deg): 146.40 131.83 60.01
Atoms (fractional coordinates):
Tm1 0.084 0.337 0.748
Tm2 0.247 0.000 0.247
Tm3 0.411 0.663 0.748
Tm4 0.589 0.337 0.252
Tm5 0.753 0.000 0.753
Tm6 0.916 0.663 0.252
Ag1 0.169 0.169 0.000
Ag2 0.331 0.831 0.500
Ag3 0.500 0.500 0.000
Ag4 0.669 0.169 0.500
Ag5 0.831 0.831 0.000

DFT (PBE) results for a geometry-optimized BaNaTcRh2 structure.

Calculated values
- total magnetic moment (μB/f.u.) = 4.58
- energy relative to the elements (eV per atom) = 1.39
- electronic total energy (eV per atom) = -4.276

a b c (Å): 4.941 4.941 4.862
angles (deg): 90.00 90.00 90.00
Atoms (fractional coordinates):
Ba1 0.000 0.000 0.000
Na1 0.500 0.500 0.500
Tc1 0.500 0.500 0.000
Rh1 0.000 0.500 0.500
Rh2 0.500 0.000 0.500

DFT (PBE) results for a geometry-optimized CuAg2Br2Cl2 structure.

Calculated values
- total magnetic moment (μB/f.u.) = 0.00
- energy relative to the elements, uncorrected (meV/atom) = -351
- electronic total energy (eV per atom) = -2.756

a b c (Å): 6.918 6.918 6.958
angles (deg): 111.24 111.24 33.23
Atoms (fractional coordinates):
Cu1 0.000 0.000 0.000
Ag1 0.217 0.217 0.744
Ag2 0.783 0.783 0.256
Br1 0.405 0.405 0.177
Br2 0.595 0.595 0.823
Cl1 0.149 0.149 0.292
Cl2 0.851 0.851 0.708

DFT (PBE) results for a geometry-optimized PmPu2Sn structure.

Calculated values
- total magnetic moment (μB/f.u.) = 12.38
- energy relative to the elements (eV per atom) = -0.29
- energy above the most stable polymorph in this dataset (eV/f.u.) = 0.000
- electronic total energy (eV per atom) = -9.644

a b c (Å): 4.618 4.618 5.137
angles (deg): 90.00 90.00 90.00
Atoms (fractional coordinates):
Pm1 0.000 0.000 0.000
Pu1 0.000 0.500 0.500
Pu2 0.500 0.000 0.500
Sn1 0.500 0.500 0.000

DFT (PBE) results for a geometry-optimized BeZnSe2Br structure.

Calculated values
- total magnetic moment (μB/f.u.) = 0.00
- energy relative to the elements, uncorrected (meV/atom) = 689
- energy above the most stable polymorph in this dataset (eV/f.u.) = 2.339
- electronic total energy (eV per atom) = -2.039

a b c (Å): 4.925 4.925 5.080
angles (deg): 90.00 90.00 90.00
Atoms (fractional coordinates):
Be1 0.000 0.000 0.000
Zn1 0.500 0.500 0.500
Se1 0.000 0.500 0.500
Se2 0.500 0.000 0.500
Br1 0.500 0.500 0.000

DFT (PBE) results for a geometry-optimized CeGd2I structure.

Calculated values
- total magnetic moment (μB/f.u.) = 13.79
- energy relative to the elements, uncorrected (meV/atom) = -271
- energy above the most stable polymorph in this dataset (eV/f.u.) = 0.253
- electronic total energy (eV per atom) = -9.182

a b c (Å): 3.664 3.664 9.487
angles (deg): 90.00 90.00 90.00
Atoms (fractional coordinates):
Ce1 0.000 0.000 0.000
Gd1 0.500 0.500 0.251
Gd2 0.500 0.500 0.749
I1 0.000 0.000 0.500

DFT (PBE) results for a geometry-optimized YCoSnRh structure.

Calculated values
- total magnetic moment (μB/f.u.) = 1.03
- energy relative to the elements (eV per atom) = -0.50
- electronic total energy (eV per atom) = -6.734

a b c (Å): 4.646 4.646 4.646
angles (deg): 60.00 60.00 60.00
Atoms (fractional coordinates):
Y1 0.000 0.000 0.000
Co1 0.250 0.250 0.250
Sn1 0.500 0.500 0.500
Rh1 0.750 0.750 0.750

DFT (PBE) results for a geometry-optimized SeBr3 structure.

Calculated values
- total magnetic moment (μB/f.u.) = 0.18
- energy relative to the elements, uncorrected (meV/atom) = 365
- electronic total energy (eV per atom) = -1.761

a b c (Å): 3.306 3.867 9.267
angles (deg): 90.00 90.00 90.00
Atoms (fractional coordinates):
Se1 0.000 0.000 0.000
Br1 0.000 0.500 0.817
Br2 0.500 0.000 0.574
Br3 0.500 0.500 0.181

- Which of these has the highest electronic total energy?
  SeBr3

- What is the total magnetic moment in the fifth record?
  0.00 μB/f.u.

- The lowest electronic total energy belongs to which entry?
  PmPu2Sn

- Which formula does entry 6 have?
  CeGd2I